Below is crystalline Ca3AlCd2 at its relaxed geometry, with properties calculated at the PBE level.

```
data_Ca3AlCd2
_cell_length_a 8.3662
_cell_length_b 8.3662
_cell_length_c 7.8394
_cell_angle_alpha 90.00
_cell_angle_beta 90.00
_cell_angle_gamma 143.12
_space_group_name_H-M_alt 'P 1'
_space_group_IT_number 1
_space_group_name_Hall 'P 1'
loop_
_atom_site_label
_atom_site_type_symbol
_atom_site_fract_x
_atom_site_fract_y
_atom_site_fract_z
_atom_site_occupancy
Ca1 Ca 0.0000 0.0000 0.2460 1
Ca2 Ca 0.0000 0.0000 0.7540 1
Ca3 Ca 0.3326 0.6674 0.2459 1
Ca4 Ca 0.3326 0.6674 0.7541 1
Ca5 Ca 0.6674 0.3326 0.2459 1
Ca6 Ca 0.6674 0.3326 0.7541 1
Al1 Al 0.1692 0.8308 0.0000 1
Al2 Al 0.8308 0.1692 0.0000 1
Cd1 Cd 0.1666 0.8334 0.5000 1
Cd2 Cd 0.5000 0.5000 0.0000 1
Cd3 Cd 0.5000 0.5000 0.5000 1
Cd4 Cd 0.8334 0.1666 0.5000 1
```

Results
* space-group type: No. 65
* relative energy among the computed polymorphs: 5 meV per atom
* ΔH_f (0 K): -0.30 eV per atom
* crystal system: orthorhombic


Below is crystalline LiPSe2 at its relaxed geometry, with properties calculated at the PBE level.

```
data_LiPSe2
_cell_length_a 3.8475
_cell_length_b 7.1773
_cell_length_c 7.4099
_cell_angle_alpha 68.07
_cell_angle_beta 76.06
_cell_angle_gamma 74.98
_space_group_name_H-M_alt 'P 1'
_space_group_IT_number 1
_space_group_name_Hall 'P 1'
loop_
_atom_site_label
_atom_site_type_symbol
_atom_site_fract_x
_atom_site_fract_y
_atom_site_fract_z
_atom_site_occupancy
Li1 Li 0.0000 0.0000 0.0000 1
Li2 Li 0.0302 0.4370 0.4739 1
P1 P 0.2818 0.5351 0.8892 1
P2 P 0.7141 0.4834 0.0875 1
Se1 Se 0.2288 0.8466 0.6941 1
Se2 Se 0.4651 0.2845 0.7633 1
Se3 Se 0.5303 0.7181 0.2309 1
Se4 Se 0.7791 0.1741 0.2948 1
```

Results
* space-group type: No. 1
* formation energy from raw total energies: -1.99 eV/f.u.
* crystal system: triclinic